No. 1
This record from Alexandria via LeMat-Bulk describes Ce3TcCl3 after structural relaxation. The functional is PBE.

```
data_Ce3TcCl3
_cell_length_a 8.744
_cell_length_b 4.061
_cell_length_c 11.451
_cell_angle_alpha 90.00
_cell_angle_beta 93.55
_cell_angle_gamma 90.00
_space_group_name_H-M_alt 'P 1 21/m 1'
_space_group_IT_number 11
_space_group_name_Hall '-P 2yb'
loop_
_atom_site_label
_atom_site_fract_x
_atom_site_fract_y
_atom_site_fract_z
Ce1 0.107 0.250 0.384
Ce2 0.134 0.250 0.853
Ce3 0.348 0.750 0.634
Tc1 0.126 0.250 0.641
Cl1 0.107 0.250 0.117
Cl2 0.368 0.750 0.884
Cl3 0.383 0.750 0.376
```

Output
formation energy from raw total energies: -8.918 eV per formula unit
DOS(E_F): 2.520 states/eV/atom
VASP energy: -85.25 eV/cell
spin magnetization: 5.4 μB/cell

=====

No. 2
This record from Alexandria via LeMat-Bulk describes Ac2ScSb3Rh4 after structural relaxation. The functional is PBE.

```
data_Ac2ScSb3Rh4
_cell_length_a 4.515
_cell_length_b 4.515
_cell_length_c 11.110
_cell_angle_alpha 90.00
_cell_angle_beta 90.00
_cell_angle_gamma 90.00
_space_group_name_H-M_alt 'P -4 m 2'
_space_group_IT_number 115
_space_group_name_Hall 'P -4 -2'
loop_
_atom_site_label
_atom_site_fract_x
_atom_site_fract_y
_atom_site_fract_z
Ac1 0.000 0.500 0.243
Sc1 0.000 0.000 0.500
Sb1 0.000 0.500 0.872
Sb2 0.500 0.500 0.500
Rh1 0.000 0.000 0.000
Rh2 0.000 0.500 0.635
Rh3 0.500 0.500 0.000
```

Output
formation energy from raw total energies: -8.981 eV per formula unit
DOS(E_F): 0.890 states/eV/atom
VASP energy: -65.30 eV/cell
spin magnetization: 0.0 μB/cell

=====

No. 3
This record from Alexandria via LeMat-Bulk describes TiInPd5 after structural relaxation. The functional is PBE.

```
data_TiInPd5
_cell_length_a 4.062
_cell_length_b 4.062
_cell_length_c 7.216
_cell_angle_alpha 90.00
_cell_angle_beta 90.00
_cell_angle_gamma 90.00
_space_group_name_H-M_alt 'P 4/m m m'
_space_group_IT_number 123
_space_group_name_Hall '-P 4 2'
loop_
_atom_site_label
_atom_site_fract_x
_atom_site_fract_y
_atom_site_fract_z
Ti1 0.000 0.000 0.000
In1 0.500 0.500 0.500
Pd1 0.000 0.000 0.500
Pd2 0.000 0.500 0.216
```

Output
ΔE_f: -2.66 eV per formula unit
DOS(E_F): 0.441 states/eV/atom
VASP energy: -39.26 eV/cell
spin magnetization: 0.0 μB/cell

=====

No. 4
This record from Alexandria via LeMat-Bulk describes LiTaW2 after structural relaxation. The functional is PBE.

```
data_LiTaW2
_cell_length_a 3.271
_cell_length_b 3.271
_cell_length_c 5.797
_cell_angle_alpha 90.00
_cell_angle_beta 90.00
_cell_angle_gamma 90.00
_space_group_name_H-M_alt 'P 4/m m m'
_space_group_IT_number 123
_space_group_name_Hall '-P 4 2'
loop_
_atom_site_label
_atom_site_fract_x
_atom_site_fract_y
_atom_site_fract_z
Li1 0.000 0.000 0.000
Ta1 0.000 0.000 0.500
W1 0.500 0.500 0.226
```

Output
ΔE_f: 1.82 eV per formula unit
DOS(E_F): 0.824 states/eV/atom
VASP energy: -37.85 eV/cell
spin magnetization: 0.0 μB/cell

=====

No. 5
This record from Alexandria via LeMat-Bulk describes KCa2Co after structural relaxation. The functional is PBE.

```
data_KCa2Co
_cell_length_a 4.919
_cell_length_b 4.919
_cell_length_c 10.668
_cell_angle_alpha 90.00
_cell_angle_beta 90.00
_cell_angle_gamma 90.00
_space_group_name_H-M_alt 'I -4 m 2'
_space_group_IT_number 119
_space_group_name_Hall 'I -4 -2'
loop_
_atom_site_label
_atom_site_fract_x
_atom_site_fract_y
_atom_site_fract_z
K1 0.000 0.000 0.000
Ca1 0.000 0.000 0.500
Ca2 0.000 0.500 0.750
Co1 0.000 0.500 0.250
```

Output
ΔE_f: 2.80 eV per formula unit
DOS(E_F): 1.344 states/eV/atom
VASP energy: -18.82 eV/cell
spin magnetization: 1.9 μB/cell

=====

No. 6
This record from Alexandria via LeMat-Bulk describes SrZrSnI2 after structural relaxation. The functional is PBE.

```
data_SrZrSnI2
_cell_length_a 6.121
_cell_length_b 6.121
_cell_length_c 5.792
_cell_angle_alpha 90.00
_cell_angle_beta 90.00
_cell_angle_gamma 90.00
_space_group_name_H-M_alt 'P 4/m m m'
_space_group_IT_number 123
_space_group_name_Hall '-P 4 2'
loop_
_atom_site_label
_atom_site_fract_x
_atom_site_fract_y
_atom_site_fract_z
Sr1 0.000 0.000 0.000
Zr1 0.500 0.500 0.000
Sn1 0.500 0.500 0.500
I1 0.000 0.500 0.500
```

Output
formation energy from raw total energies: 1.251 eV per formula unit
DOS(E_F): 0.822 states/eV/atom
VASP energy: -16.08 eV/cell
spin magnetization: 2.2 μB/cell

=====

No. 7
This record from Alexandria via LeMat-Bulk describes Er3Ge2Rh6 after structural relaxation. The functional is PBE.

```
data_Er3Ge2Rh6
_cell_length_a 9.259
_cell_length_b 9.259
_cell_length_c 9.259
_cell_angle_alpha 90.00
_cell_angle_beta 90.00
_cell_angle_gamma 90.00
_space_group_name_H-M_alt 'I m -3 m'
_space_group_IT_number 229
_space_group_name_Hall '-I 4 2 3'
loop_
_atom_site_label
_atom_site_fract_x
_atom_site_fract_y
_atom_site_fract_z
Er1 0.000 0.000 0.288
Ge1 0.250 0.250 0.250
Rh1 0.000 0.344 0.344
```

Output
ΔE_f: -8.00 eV per formula unit
DOS(E_F): 0.702 states/eV/atom
VASP energy: -300.12 eV/cell
spin magnetization: 0.0 μB/cell

=====

No. 8
This record from Alexandria via LeMat-Bulk describes HoSi2Os after structural relaxation. The functional is PBE.

```
data_HoSi2Os
_cell_length_a 6.533
_cell_length_b 4.184
_cell_length_c 9.974
_cell_angle_alpha 90.00
_cell_angle_beta 90.00
_cell_angle_gamma 90.00
_space_group_name_H-M_alt 'P n m a'
_space_group_IT_number 62
_space_group_name_Hall '-P 2ac 2n'
loop_
_atom_site_label
_atom_site_fract_x
_atom_site_fract_y
_atom_site_fract_z
Ho1 0.230 0.250 0.182
Si1 0.036 0.750 0.338
Si2 0.247 0.750 0.976
Os1 0.091 0.250 0.902
```

Output
formation energy from raw total energies: -2.385 eV per formula unit
DOS(E_F): 0.614 states/eV/atom
VASP energy: -116.16 eV/cell
spin magnetization: 0.0 μB/cell

=====

No. 9
This record from Alexandria via LeMat-Bulk describes CaY3Pt2 after structural relaxation. The functional is PBE.

```
data_CaY3Pt2
_cell_length_a 4.774
_cell_length_b 8.833
_cell_length_c 7.305
_cell_angle_alpha 90.00
_cell_angle_beta 90.00
_cell_angle_gamma 90.00
_space_group_name_H-M_alt 'P m c 21'
_space_group_IT_number 26
_space_group_name_Hall 'P 2c -2'
loop_
_atom_site_label
_atom_site_fract_x
_atom_site_fract_y
_atom_site_fract_z
Ca1 0.000 0.082 0.000
Y1 0.000 0.330 0.630
Y2 0.500 0.174 0.340
Y3 0.500 0.420 0.972
Pt1 0.000 0.354 0.238
Pt2 0.500 0.160 0.732
```

Output
ΔE_f: -5.37 eV per formula unit
DOS(E_F): 1.018 states/eV/atom
VASP energy: -77.68 eV/cell
spin magnetization: 0.0 μB/cell

=====

No. 10
This record from Alexandria via LeMat-Bulk describes Ba3LiLa2Se6 after structural relaxation. The functional is PBE.

```
data_Ba3LiLa2Se6
_cell_length_a 7.738
_cell_length_b 13.404
_cell_length_c 7.833
_cell_angle_alpha 90.00
_cell_angle_beta 109.17
_cell_angle_gamma 90.00
_space_group_name_H-M_alt 'C 1 2/m 1'
_space_group_IT_number 12
_space_group_name_Hall '-C 2y'
loop_
_atom_site_label
_atom_site_fract_x
_atom_site_fract_y
_atom_site_fract_z
Ba1 0.000 0.000 0.000
Ba2 0.000 0.335 0.000
Li1 0.000 0.500 0.500
La1 0.000 0.167 0.500
Se1 0.239 0.000 0.722
Se2 0.242 0.332 0.724
```

Output
formation energy from raw total energies: -22.742 eV per formula unit
DOS(E_F): 0.315 states/eV/atom
VASP energy: -122.37 eV/cell
spin magnetization: 0.0 μB/cell

=====

No. 11
This record from Alexandria via LeMat-Bulk describes SbMo2 after structural relaxation. The functional is PBE.

```
data_SbMo2
_cell_length_a 3.202
_cell_length_b 3.202
_cell_length_c 22.035
_cell_angle_alpha 90.00
_cell_angle_beta 90.00
_cell_angle_gamma 90.00
_space_group_name_H-M_alt 'I 41/a m d'
_space_group_IT_number 141
loop_
_space_group_symop_operation_xyz
'x,y,z'
'-x,-y,-z'
'-y+1/4,x+3/4,z+1/4'
'y+1/4,-x+3/4,-z+1/4'
'-x+1/2,-y,z+1/2'
'x+1/2,y,-z+1/2'
'y+1/4,-x+1/4,z+3/4'
'-y+1/4,x+1/4,-z+3/4'
'x,-y,-z'
'-x,y,z'
'-y+1/4,-x+1/4,-z+3/4'
'y+1/4,x+1/4,z+3/4'
'-x+1/2,y,-z+1/2'
'x+1/2,-y,z+1/2'
'y+1/4,x+3/4,-z+1/4'
'-y+1/4,-x+3/4,z+1/4'
'x+1/2,y+1/2,z+1/2'
'-x+1/2,-y+1/2,-z+1/2'
'-y+3/4,x+1/4,z+3/4'
'y+3/4,-x+1/4,-z+3/4'
'-x,-y+1/2,z'
'x,y+1/2,-z'
'y+3/4,-x+3/4,z+1/4'
'-y+3/4,x+3/4,-z+1/4'
'x+1/2,-y+1/2,-z+1/2'
'-x+1/2,y+1/2,z+1/2'
'-y+3/4,-x+3/4,-z+1/4'
'y+3/4,x+3/4,z+1/4'
'-x,y+1/2,-z'
'x,-y+1/2,z'
'y+3/4,x+1/4,-z+3/4'
'-y+3/4,-x+1/4,z+3/4'
loop_
_atom_site_label
_atom_site_fract_x
_atom_site_fract_y
_atom_site_fract_z
Sb1 0.000 0.250 0.375
Mo1 0.000 0.250 0.794
```

Output
formation energy from raw total energies: 1.825 eV per formula unit
DOS(E_F): 0.882 states/eV/atom
VASP energy: -95.84 eV/cell
spin magnetization: 0.0 μB/cell

=====

No. 12
This record from Alexandria via LeMat-Bulk describes Pm3Pr2YSb6 after structural relaxation. The functional is PBE.

```
data_Pm3Pr2YSb6
_cell_length_a 19.608
_cell_length_b 4.502
_cell_length_c 8.996
_cell_angle_alpha 90.00
_cell_angle_beta 103.27
_cell_angle_gamma 90.00
_space_group_name_H-M_alt 'C 1 2/m 1'
_space_group_IT_number 12
_space_group_name_Hall '-C 2y'
loop_
_atom_site_label
_atom_site_fract_x
_atom_site_fract_y
_atom_site_fract_z
Pm1 0.000 0.000 0.000
Pm2 0.168 0.500 0.334
Pr1 0.166 0.500 0.832
Y1 0.000 0.000 0.500
Sb1 0.002 0.500 0.255
Sb2 0.165 0.000 0.579
Sb3 0.166 0.000 0.085
```

Output
formation energy from raw total energies: -14.176 eV per formula unit
DOS(E_F): 0.161 states/eV/atom
VASP energy: -138.37 eV/cell
spin magnetization: 0.0 μB/cell